Arrangement i

GeIr15: relaxed, GGA-PBE.

Lattice parameters (Å, degrees): 5.451 2.744 44.188 90.00 90.00 90.00
Positions (direct):
Ir  0.375  0.250  0.742
Ir  0.125  0.750  0.172
Ir  0.125  0.750  0.434
Ir  0.875  0.250  0.566
Ir  0.625  0.750  0.610
Ir  0.375  0.250  0.654
Ir  0.875  0.250  0.390
Ir  0.875  0.250  0.478
Ir  0.375  0.250  0.566
Ir  0.625  0.750  0.346
Ir  0.875  0.250  0.828
Ir  0.375  0.250  0.390
Ir  0.625  0.750  0.434
Ir  0.125  0.750  0.785
Ir  0.625  0.750  0.522
Ir  0.875  0.250  0.303
Ir  0.875  0.250  0.215
Ir  0.375  0.250  0.215
Ir  0.625  0.750  0.697
Ir  0.625  0.750  0.258
Ir  0.875  0.250  0.741
Ir  0.125  0.750  0.347
Ir  0.125  0.750  0.697
Ir  0.375  0.250  0.478
Ir  0.375  0.250  0.303
Ir  0.125  0.750  0.610
Ir  0.125  0.750  0.259
Ir  0.625  0.750  0.785
Ir  0.125  0.750  0.522
Ir  0.875  0.250  0.653
Ge  0.375  0.250  0.829
Ge  0.625  0.750  0.171

Summary:
Volume in Å³/cell: 660.9
Space-group type: P2_1/m
Spin magnetization in μB per formula unit: 0.005

---

Arrangement ii

GeIr15: relaxed, GGA-PBE.

Lattice parameters (Å, degrees): 4.727 35.639 4.727 90.00 109.80 90.00
Positions (direct):
Ir  0.000  0.634  0.750
Ir  0.500  0.442  0.750
Ir  0.500  0.786  0.250
Ir  0.000  0.558  0.750
Ir  0.000  0.249  0.750
Ir  0.500  0.249  0.250
Ir  0.500  0.751  0.750
Ir  0.500  0.711  0.250
Ir  0.000  0.519  0.250
Ir  0.500  0.289  0.750
Ir  0.500  0.214  0.750
Ir  0.500  0.519  0.750
Ir  0.500  0.481  0.250
Ir  0.500  0.558  0.250
Ir  0.500  0.404  0.250
Ir  0.000  0.481  0.750
Ir  0.000  0.289  0.250
Ir  0.000  0.673  0.250
Ir  0.000  0.404  0.750
Ir  0.000  0.751  0.250
Ir  0.000  0.442  0.250
Ir  0.500  0.365  0.750
Ir  0.500  0.635  0.250
Ir  0.500  0.327  0.250
Ir  0.000  0.327  0.750
Ir  0.000  0.366  0.250
Ir  0.000  0.596  0.250
Ir  0.000  0.711  0.750
Ir  0.500  0.596  0.750
Ir  0.500  0.673  0.750
Ge  0.000  0.212  0.250
Ge  0.000  0.788  0.750

Summary:
Volume in Å³/cell: 749.3
Space-group type: P2/c
Spin magnetization in μB per formula unit: 0.014

---

Relative stability in meV per atom, measured from the most stable structure: arrangement i 0; arrangement ii 35

---

Arrangement i

GeIr15: relaxed, GGA-PBE.

Lattice parameters (Å, degrees): 5.440 3.868 35.648 90.00 90.00 90.00
Positions (direct):
Ir  0.125  0.250  0.827
Ir  0.875  0.750  0.942
Ir  0.375  0.750  0.789
Ir  0.625  0.250  0.287
Ir  0.625  0.250  0.135
Ir  0.376  0.750  0.096
Ir  0.125  0.250  0.058
Ir  0.379  0.750  0.251
Ir  0.625  0.250  0.981
Ir  0.375  0.750  0.865
Ir  0.875  0.750  0.866
Ir  0.129  0.250  0.749
Ir  0.125  0.250  0.981
Ir  0.375  0.750  0.173
Ir  0.375  0.750  0.942
Ir  0.875  0.750  0.788
Ir  0.875  0.750  0.019
Ir  0.625  0.250  0.058
Ir  0.375  0.750  0.713
Ir  0.126  0.250  0.904
Ir  0.875  0.750  0.173
Ir  0.375  0.750  0.019
Ir  0.625  0.250  0.827
Ir  0.125  0.250  0.134
Ir  0.125  0.250  0.212
Ir  0.625  0.250  0.211
Ir  0.874  0.750  0.096
Ir  0.871  0.750  0.251
Ir  0.624  0.250  0.904
Ir  0.621  0.250  0.749
Ge  0.875  0.750  0.713
Ge  0.125  0.250  0.287

Summary:
Volume in Å³/cell: 750.1
Space-group type: P2_1/m
Spin magnetization in μB per formula unit: 0.008

---

Arrangement ii

GeIr15: relaxed, GGA-PBE.

Lattice parameters (Å, degrees): 7.738 2.734 35.569 90.00 90.01 90.00
Positions (direct):
Ir  0.125  0.000  0.673
Ir  0.127  0.000  0.752
Ir  0.874  0.500  0.404
Ir  0.125  0.000  0.288
Ir  0.625  0.000  0.215
Ir  0.875  0.500  0.558
Ir  0.875  0.500  0.635
Ir  0.873  0.500  0.248
Ir  0.375  0.500  0.480
Ir  0.375  0.500  0.785
Ir  0.125  0.000  0.442
Ir  0.875  0.500  0.481
Ir  0.624  0.000  0.290
Ir  0.376  0.500  0.404
Ir  0.375  0.500  0.327
Ir  0.377  0.500  0.248
Ir  0.125  0.000  0.519
Ir  0.625  0.000  0.365
Ir  0.376  0.500  0.710
Ir  0.625  0.000  0.442
Ir  0.375  0.500  0.558
Ir  0.625  0.000  0.673
Ir  0.624  0.000  0.596
Ir  0.625  0.000  0.520
Ir  0.875  0.500  0.327
Ir  0.126  0.000  0.596
Ir  0.622  0.000  0.752
Ir  0.375  0.500  0.635
Ir  0.875  0.500  0.712
Ir  0.125  0.000  0.365
Ge  0.875  0.500  0.787
Ge  0.125  0.000  0.213

Summary:
Volume in Å³/cell: 752.6
Space-group type: P2_1/m
Spin magnetization in μB per formula unit: 0.010

---

Arrangement iii

GeIr15: relaxed, GGA-PBE.

Lattice parameters (Å, degrees): 7.743 44.155 3.875 90.00 90.00 90.00
Positions (direct):
Ge  0.832  0.832  0.000
Ge  0.832  0.168  0.500
Ge  0.168  0.168  0.000
Ge  0.168  0.832  0.500
Ir  0.120  0.785  0.000
Ir  0.374  0.653  0.000
Ir  0.625  0.390  0.500
Ir  0.125  0.566  0.500
Ir  0.623  0.303  0.500
Ir  0.875  0.346  0.500
Ir  0.625  0.522  0.000
Ir  0.125  0.478  0.500
Ir  0.880  0.785  0.500
Ir  0.875  0.478  0.000
Ir  0.875  0.610  0.500
Ir  0.125  0.258  0.000
Ir  0.626  0.653  0.500
Ir  0.376  0.784  0.500
Ir  0.625  0.478  0.500
Ir  0.627  0.741  0.500
Ir  0.375  0.566  0.000
Ir  0.875  0.742  0.000
Ir  0.875  0.654  0.000
Ir  0.625  0.566  0.500
Ir  0.377  0.697  0.500
Ir  0.874  0.302  0.000
Ir  0.874  0.698  0.500
Ir  0.622  0.173  0.000
Ir  0.622  0.827  0.500
Ir  0.378  0.827  0.000
Ir  0.624  0.784  0.000
Ir  0.375  0.478  0.000
Ir  0.125  0.390  0.500
Ir  0.126  0.302  0.500
Ir  0.375  0.522  0.500
Ir  0.126  0.698  0.000
Ir  0.625  0.434  0.000
Ir  0.125  0.654  0.500
Ir  0.624  0.216  0.500
Ir  0.627  0.259  0.000
Ir  0.374  0.347  0.500
Ir  0.875  0.566  0.000
Ir  0.375  0.610  0.500
Ir  0.875  0.522  0.500
Ir  0.125  0.434  0.000
Ir  0.623  0.697  0.000
Ir  0.378  0.173  0.500
Ir  0.125  0.742  0.500
Ir  0.875  0.390  0.000
Ir  0.125  0.346  0.000
Ir  0.375  0.434  0.500
Ir  0.376  0.216  0.000
Ir  0.120  0.215  0.500
Ir  0.373  0.741  0.000
Ir  0.625  0.610  0.000
Ir  0.875  0.258  0.500
Ir  0.375  0.390  0.000
Ir  0.373  0.259  0.500
Ir  0.125  0.522  0.000
Ir  0.377  0.303  0.000
Ir  0.626  0.347  0.000
Ir  0.880  0.215  0.000
Ir  0.875  0.434  0.500
Ir  0.125  0.610  0.000

Summary:
Volume in Å³/cell: 1324.9
Space-group type: Pccm
Spin magnetization in μB per formula unit: 0.002

---

Relative stability in meV per atom, measured from the most stable structure: arrangement i 40; arrangement ii 56; arrangement iii 0

---

Arrangement i

GeIr9: relaxed, GGA-PBE.

Lattice parameters (Å, degrees): 2.744 3.871 40.560 90.00 90.00 90.00
Positions (direct):
Ir  0.000  0.000  0.882
Ir  0.500  0.500  0.713
Ir  0.500  0.500  0.848
Ir  0.000  0.000  0.219
Ir  0.000  0.000  0.287
Ir  0.500  0.500  0.983
Ir  0.500  0.500  0.253
Ir  0.500  0.500  0.781
Ir  0.000  0.000  0.949
Ir  0.500  0.500  0.118
Ir  0.000  0.000  0.747
Ir  0.000  0.000  0.815
Ir  0.000  0.000  0.152
Ir  0.500  0.500  0.051
Ir  0.500  0.500  0.916
Ir  0.500  0.500  0.185
Ir  0.000  0.000  0.017
Ir  0.000  0.000  0.084
Ge  0.500  0.500  0.319
Ge  0.000  0.000  0.681

Summary:
Volume in Å³/cell: 430.9
Space-group type: Pmmn
Spin magnetization in μB per formula unit: 0.013

---

Arrangement ii

GeIr9: relaxed, GGA-PBE.

Lattice parameters (Å, degrees): 2.749 2.749 51.256 90.00 90.00 90.00
Positions (direct):
Ir  0.000  0.500  0.293
Ir  0.000  0.500  0.444
Ir  0.500  0.000  0.331
Ir  0.500  0.000  0.180
Ir  0.500  0.000  0.707
Ir  0.000  0.500  0.218
Ir  0.000  0.500  0.669
Ir  0.000  0.500  0.745
Ir  0.500  0.000  0.556
Ir  0.000  0.500  0.368
Ir  0.000  0.500  0.594
Ir  0.000  0.500  0.820
Ir  0.500  0.000  0.782
Ir  0.500  0.000  0.255
Ir  0.500  0.000  0.481
Ir  0.500  0.000  0.406
Ir  0.500  0.000  0.632
Ir  0.000  0.500  0.519
Ge  0.000  0.500  0.143
Ge  0.500  0.000  0.857

Summary:
Volume in Å³/cell: 387.5
Space-group type: P4/nmm
Spin magnetization in μB per formula unit: 0.001

---

Relative stability in meV per atom, measured from the most stable structure: arrangement i 15; arrangement ii 0

---

Arrangement i

LaNd2Ni2Ge4Ir2: relaxed, GGA-PBE.

Lattice parameters (Å, degrees): 12.572 12.572 12.572 161.09 160.39 27.38
Positions (direct):
Ge  0.448  0.448  0.000
Ge  0.552  0.552  0.000
Ge  0.799  0.299  0.500
Ge  0.201  0.701  0.500
Ir  0.901  0.401  0.500
Ir  0.099  0.599  0.500
Ni  0.249  0.249  0.000
Ni  0.751  0.751  0.000
La  0.000  0.000  0.000
Nd  0.349  0.849  0.500
Nd  0.651  0.151  0.500

Summary:
Volume in Å³/cell: 216.1
Space-group type: Immm
Spin magnetization in μB per formula unit: 0.005

---

Arrangement ii

LaNd2Ni2Ge4Ir2: relaxed, GGA-PBE.

Lattice parameters (Å, degrees): 12.610 12.610 12.610 160.97 160.66 27.26
Positions (direct):
Ge  0.193  0.693  0.500
Ge  0.807  0.307  0.500
Ge  0.553  0.553  0.000
Ge  0.447  0.447  0.000
Ni  0.903  0.403  0.500
Ni  0.097  0.597  0.500
La  0.000  0.000  0.000
Nd  0.353  0.853  0.500
Nd  0.647  0.147  0.500
Ir  0.751  0.751  0.000
Ir  0.249  0.249  0.000

Summary:
Volume in Å³/cell: 216.4
Space-group type: Immm
Spin magnetization in μB per formula unit: 0.010

---

Relative stability in meV per atom, measured from the most stable structure: arrangement i 42; arrangement ii 0

---

Arrangement i

LiGeIrPb: relaxed, GGA-PBE.

Lattice parameters (Å, degrees): 4.614 4.614 4.614 60.00 60.00 60.00
Positions (direct):
Ir  0.250  0.250  0.250
Pb  0.500  0.500  0.500
Ge  0.000  0.000  0.000
Li  0.750  0.750  0.750

Summary:
Volume in Å³/cell: 69.5
Space-group type: F-43m
Spin magnetization in μB per formula unit: 0.005

---

Arrangement ii

LiGeIrPb: relaxed, GGA-PBE.

Lattice parameters (Å, degrees): 4.664 4.664 4.664 60.00 60.00 60.00
Positions (direct):
Pb  0.500  0.500  0.500
Ge  0.250  0.250  0.250
Ir  0.000  0.000  0.000
Li  0.750  0.750  0.750

Summary:
Volume in Å³/cell: 71.8
Space-group type: F-43m
Spin magnetization in μB per formula unit: 0.007

---

Relative stability in meV per atom, measured from the most stable structure: arrangement i 0; arrangement ii 221

---

Arrangement i

YLuGe2Ir: relaxed, GGA-PBE.

Lattice parameters (Å, degrees): 5.662 5.662 10.249 114.72 114.72 44.43
Positions (direct):
Y  0.993  0.993  0.672
Y  0.007  0.007  0.328
Lu  0.189  0.189  0.118
Lu  0.811  0.811  0.882
Ge  0.352  0.352  0.446
Ge  0.477  0.477  0.113
Ge  0.648  0.648  0.554
Ge  0.523  0.523  0.887
Ir  0.273  0.273  0.668
Ir  0.727  0.727  0.332

Summary:
Volume in Å³/cell: 205.2
Space-group type: C2/m
Spin magnetization in μB per formula unit: 0.010

---

Arrangement ii

YLuGe2Ir: relaxed, GGA-PBE.

Lattice parameters (Å, degrees): 5.628 5.628 10.210 114.52 114.52 44.90
Positions (direct):
Ge  0.479  0.479  0.118
Ge  0.355  0.355  0.448
Ge  0.521  0.521  0.882
Ge  0.645  0.645  0.552
Ir  0.270  0.270  0.662
Ir  0.730  0.730  0.338
Lu  0.009  0.009  0.332
Lu  0.991  0.991  0.668
Y  0.190  0.190  0.117
Y  0.810  0.810  0.883

Summary:
Volume in Å³/cell: 204.0
Space-group type: C2/m
Spin magnetization in μB per formula unit: 0.003

---

Relative stability in meV per atom, measured from the most stable structure: arrangement i 7; arrangement ii 0

---

Arrangement i

NaSnGeIr: relaxed, GGA-PBE.

Lattice parameters (Å, degrees): 4.753 4.753 4.753 60.00 60.00 60.00
Positions (direct):
Sn  0.250  0.250  0.250
Ir  0.000  0.000  0.000
Na  0.750  0.750  0.750
Ge  0.500  0.500  0.500

Summary:
Volume in Å³/cell: 75.9
Space-group type: F-43m
Spin magnetization in μB per formula unit: 0.003

---

Arrangement ii

NaSnGeIr: relaxed, GGA-PBE.

Lattice parameters (Å, degrees): 4.740 4.740 4.740 60.00 60.00 60.00
Positions (direct):
Ir  0.000  0.000  0.000
Na  0.750  0.750  0.750
Ge  0.250  0.250  0.250
Sn  0.500  0.500  0.500

Summary:
Volume in Å³/cell: 75.3
Space-group type: F-43m
Spin magnetization in μB per formula unit: 0.006

---

Relative stability in meV per atom, measured from the most stable structure: arrangement i 0; arrangement ii 78